The following is a DFT calculation (PBE) of crystalline Na2NpAgBr8 at its relaxed geometry.

Results
Crystal system: monoclinic
Energy relative to the elements, uncorrected, eV/atom: -1.075
Space group: No. 10

Cell and atoms, written as POSCAR:
```
Na2NpAgBr8
1.0
6.9018 -0.3680 -0.0026
-0.4286 6.6312 -0.0071
0.0059 0.0099 9.1831
Na Np Ag Br
2 1 1 8
direct
0.5000 0.4997 0.7291 Na
0.5000 0.5003 0.2709 Na
0.0000 0.0000 0.0000 Np
0.0000 0.0000 0.5000 Ag
0.1503 0.7823 0.2104 Br
0.6664 0.7357 0.9999 Br
0.8495 0.2175 0.2104 Br
0.8497 0.2177 0.7896 Br
0.3336 0.2643 0.0001 Br
0.1505 0.7825 0.7896 Br
0.6947 0.7409 0.5001 Br
0.3053 0.2591 0.4999 Br
```

***

The following is a DFT calculation (PBE) of crystalline Na2AgBrO at its relaxed geometry.

Results
Crystal system: tetragonal
Energy relative to the lowest polymorph listed for this composition, eV/atom: 0.000
Energy relative to the elements, uncorrected, eV/atom: -1.032
Space group: No. 123

Cell and atoms, written as POSCAR:
```
Na2AgBrO
1.0
-4.6482 1.0302 0.8107
-0.2587 -3.6488 3.1533
1.1281 2.6260 3.1313
O Na Br Ag
1 2 1 1
direct
0.0000 0.0000 0.0000 O
0.0000 0.5000 0.0000 Na
0.5000 0.0000 0.0000 Na
0.5000 0.5000 0.5000 Br
0.0000 0.0000 0.5000 Ag
```

***

The following is a DFT calculation (PBE) of crystalline Na2AgBrO at its relaxed geometry.

Results
Crystal system: orthorhombic
Energy relative to the lowest polymorph listed for this composition, eV/atom: 0.186
Energy relative to the elements, uncorrected, eV/atom: -0.846
Space group: No. 63

Cell and atoms, written as POSCAR:
```
Na2AgBrO
1.0
3.6618 0.0000 0.0000
-1.8309 8.2458 0.0000
0.0000 0.0000 6.8589
Na Ag Br O
4 2 2 2
direct
0.1332 0.2664 0.9948 Na
0.8668 0.7336 0.0052 Na
0.1332 0.2664 0.5052 Na
0.8668 0.7336 0.4948 Na
0.4979 0.9957 0.7500 Ag
0.5021 0.0043 0.2500 Ag
0.7252 0.4504 0.7500 Br
0.2748 0.5496 0.2500 Br
0.0000 0.0000 0.0000 O
0.0000 0.0000 0.5000 O
```

***

The following is a DFT calculation (PBE) of crystalline NaAgOsBr6 at its relaxed geometry.

Results
Crystal system: trigonal
Energy relative to the elements, uncorrected, eV/atom: -0.433
Space group: No. 163

Cell and atoms, written as POSCAR:
```
NaAgOsBr6
1.0
7.0261 0.0000 0.0000
-3.5131 6.0848 0.0000
0.0000 0.0000 11.9871
Na Ag Os Br
2 2 2 12
direct
0.3333 0.6667 0.2500 Na
0.6667 0.3333 0.7500 Na
0.0000 0.0000 0.0000 Ag
0.0000 0.0000 0.5000 Ag
0.6667 0.3333 0.2500 Os
0.3333 0.6667 0.7500 Os
0.6675 0.6246 0.1276 Br
0.9571 0.3325 0.1276 Br
0.3325 0.9571 0.6276 Br
0.0429 0.6675 0.8724 Br
0.3754 0.3325 0.3724 Br
0.9571 0.6246 0.3724 Br
0.6246 0.9571 0.8724 Br
0.6675 0.0429 0.3724 Br
0.0429 0.3754 0.6276 Br
0.3754 0.0429 0.1276 Br
0.6246 0.6675 0.6276 Br
0.3325 0.3754 0.8724 Br
```

***

The following is a DFT calculation (PBE) of crystalline Na2AgPBr at its relaxed geometry.

Results
Crystal system: tetragonal
Energy relative to the elements, uncorrected, eV/atom: 0.142
Space group: No. 123

Cell and atoms, written as POSCAR:
```
Na2AgPBr
1.0
5.5505 0.0000 0.0000
0.0000 5.0967 0.0000
0.0000 0.0000 5.5505
P Br Ag Na
1 1 1 2
direct
0.0000 0.0000 0.0000 P
0.0000 0.5000 0.0000 Br
0.5000 0.5000 0.5000 Ag
0.0000 0.0000 0.5000 Na
0.5000 0.0000 0.0000 Na
```

***

The following is a DFT calculation (PBE) of crystalline NaAg2PbBr6 at its relaxed geometry.

Results
Crystal system: monoclinic
Energy relative to the elements, uncorrected, eV/atom: -0.677
Space group: No. 15

Cell and atoms, written as POSCAR:
```
NaAg2PbBr6
1.0
-5.1705 -2.2507 4.8571
6.0960 -1.5462 7.2534
-1.1819 8.5574 4.1877
Na Ag Pb Br
2 4 2 12
direct
0.2500 0.2883 0.7117 Na
0.7500 0.7117 0.2883 Na
0.4415 0.8351 0.6601 Ag
0.0585 0.3399 0.1649 Ag
0.5585 0.1649 0.3399 Ag
0.9415 0.6601 0.8351 Ag
0.2500 0.9172 0.0828 Pb
0.7500 0.0828 0.9172 Pb
0.1207 0.9820 0.7817 Br
0.3793 0.2183 0.0180 Br
0.8793 0.0180 0.2183 Br
0.6207 0.7817 0.9820 Br
0.4124 0.9089 0.3557 Br
0.0876 0.6443 0.0911 Br
0.5876 0.0911 0.6443 Br
0.9124 0.3557 0.9089 Br
0.2583 0.6094 0.6849 Br
0.2417 0.3151 0.3906 Br
0.7417 0.3906 0.3151 Br
0.7583 0.6849 0.6094 Br
```

***

The following is a DFT calculation (PBE) of crystalline Na2AgPbBr5 at its relaxed geometry.

Results
Crystal system: orthorhombic
Energy relative to the elements, uncorrected, eV/atom: -1.049
Space group: No. 36

Cell and atoms, written as POSCAR:
```
Na2AgPbBr5
1.0
-1.8749 -3.3721 -2.0769
8.8163 0.0361 -3.3953
4.3185 -9.2473 11.1151
Na Ag Pb Br
4 2 2 10
direct
0.9383 0.8766 0.8822 Na
0.0559 0.1118 0.6463 Na
0.0617 0.1234 0.3822 Na
0.9441 0.8882 0.1463 Na
0.6106 0.2212 0.9026 Ag
0.3894 0.7788 0.4026 Ag
0.7458 0.4916 0.5375 Pb
0.2542 0.5084 0.0375 Pb
0.4127 0.8254 0.0130 Br
0.7599 0.5198 0.8908 Br
0.5084 0.0167 0.7720 Br
0.2183 0.4365 0.6706 Br
0.9186 0.8372 0.5090 Br
0.5873 0.1746 0.5130 Br
0.2401 0.4802 0.3908 Br
0.4916 0.9833 0.2720 Br
0.7817 0.5635 0.1706 Br
0.0814 0.1628 0.0090 Br
```

***

The following is a DFT calculation (PBE) of crystalline Na3Ag3PbBr8 at its relaxed geometry.

Results
Crystal system: monoclinic
Energy relative to the elements, uncorrected, eV/atom: -0.913
Space group: No. 12

Cell and atoms, written as POSCAR:
```
Na3Ag3PbBr8
1.0
-4.0829 0.6953 7.3357
3.1224 -7.4796 -2.3902
5.2581 6.1974 2.3391
Na Ag Pb Br
3 3 1 8
direct
0.0000 0.0000 0.0000 Na
0.0000 0.5000 0.0000 Na
0.5000 0.5000 0.0000 Na
0.5000 0.0000 0.5000 Ag
0.5000 0.5000 0.5000 Ag
0.0000 0.5000 0.5000 Ag
0.0000 0.0000 0.5000 Pb
0.2534 0.5069 0.2640 Br
0.7466 0.4931 0.7360 Br
0.7473 0.4946 0.2526 Br
0.2527 0.5054 0.7474 Br
0.7448 0.0023 0.2504 Br
0.2552 0.9977 0.7496 Br
0.2575 0.0023 0.2504 Br
0.7425 0.9977 0.7496 Br
```

***

The following is a DFT calculation (PBE) of crystalline Na2AgPdBr6 at its relaxed geometry.

Results
Crystal system: triclinic
Energy relative to the elements, uncorrected, eV/atom: -0.764
Space group: No. 1

Cell and atoms, written as POSCAR:
```
Na2AgPdBr6
1.0
-2.9360 0.3296 -6.6863
-1.9034 -5.9913 -3.5157
-7.3337 -1.6802 -0.9468
Na Ag Pd Br
2 1 1 6
direct
0.5345 0.5252 0.4129 Na
0.0168 0.0299 0.9345 Na
0.8199 0.8221 0.5343 Ag
0.3253 0.3254 0.0230 Pd
0.5754 0.1783 0.2737 Br
0.1949 0.9823 0.2558 Br
0.9864 0.5633 0.2564 Br
0.4472 0.6734 0.7774 Br
0.6695 0.0959 0.7849 Br
0.0917 0.4656 0.7621 Br
```

***

The following is a DFT calculation (PBE) of crystalline NaAg2PdBr8 at its relaxed geometry.

Results
Crystal system: triclinic
Energy relative to the elements, uncorrected, eV/atom: -0.441
Space group: No. 2

Cell and atoms, written as POSCAR:
```
NaAg2PdBr8
1.0
-3.3273 1.4596 -5.8562
-3.6443 -0.8924 6.5773
0.8013 7.9384 1.5324
Na Ag Pd Br
1 2 1 8
direct
0.0000 0.0000 0.5000 Na
0.5000 0.4999 0.7345 Ag
0.5000 0.5001 0.2655 Ag
0.0000 0.0000 0.0000 Pd
0.0168 0.7690 0.2146 Br
0.5702 0.7722 0.0000 Br
0.9835 0.2312 0.2141 Br
0.9832 0.2310 0.7854 Br
0.4298 0.2278 0.0000 Br
0.0165 0.7688 0.7859 Br
0.4771 0.7384 0.4999 Br
0.5229 0.2616 0.5001 Br
```

***

The following is a DFT calculation (PBE) of crystalline NaAg2PdBr6 at its relaxed geometry.

Results
Crystal system: triclinic
Energy relative to the elements, uncorrected, eV/atom: -0.497
Space group: No. 1

Cell and atoms, written as POSCAR:
```
NaAg2PdBr6
1.0
7.3801 0.1085 0.2504
3.7805 6.0525 0.1836
3.9425 2.1165 6.5186
Na Ag Pd Br
1 2 1 6
direct
0.8059 0.8191 0.5548 Na
0.5362 0.5035 0.4180 Ag
0.9996 0.0391 0.9639 Ag
0.3256 0.3253 0.0199 Pd
0.5767 0.2214 0.2473 Br
0.2507 0.9468 0.2473 Br
0.9509 0.5534 0.2482 Br
0.3837 0.7112 0.7854 Br
0.7040 0.1256 0.7735 Br
0.1285 0.4162 0.7569 Br
```

***

The following is a DFT calculation (PBE) of crystalline NaPmAg2Br6 at its relaxed geometry.

Results
Crystal system: triclinic
Energy relative to the elements, uncorrected, eV/atom: -1.175
Space group: No. 1

Cell and atoms, written as POSCAR:
```
NaPmAg2Br6
1.0
-0.4470 -5.1823 -5.2667
6.5154 2.2998 2.4161
-2.0405 -2.2059 7.6601
Na Pm Ag Br
1 1 2 6
direct
0.0041 0.0037 0.9885 Na
0.9787 0.4920 0.4517 Pm
0.6254 0.8079 0.4045 Ag
0.4488 0.2270 0.6668 Ag
0.4812 0.8841 0.7162 Br
0.4995 0.0853 0.2249 Br
0.8305 0.7337 0.2183 Br
0.1561 0.4127 0.2355 Br
0.8322 0.6004 0.6966 Br
0.1091 0.2309 0.6995 Br
```